Compound: YTc2Ni
Source: the Alexandria database
Functional: PBEsol
Structure: relaxed

Cell and atoms, written as POSCAR:
```
YTc2Ni
1.0
2.7360 0.0000 0.0000
1.3680 2.3694 0.0000
1.3680 0.7898 9.4595
Ni Tc Y
1 2 1
direct
0.0000 0.0000 0.0000 Ni
0.2622 0.2622 0.2134 Tc
0.7378 0.7378 0.7866 Tc
0.5000 0.5000 0.5000 Y
```

For the total energy, the calculation gives -8.317 eV per atom. Its energy above the most stable polymorph in this dataset is 1.599 eV per formula unit. The space-group type is No. 166. As for the crystal system: trigonal.